MnGeF4: relaxed, GGA+U.

Properties
energy above the lowest structure with this stoichiometry: 3 meV per atom

The structure in CIF format:
```
data_MnGeF4
_chemical_formula_sum 'Mn2 Ge2 F8'
_cell_length_a 5.908
_cell_length_b 5.700
_cell_length_c 5.517
_cell_angle_alpha 90.00
_cell_angle_beta 90.00
_cell_angle_gamma 90.00
_space_group_name_H-M_alt 'P m n 21'
_space_group_IT_number 31
loop_
_space_group_symop_operation_xyz
'x,y,z'
'-x+1/2,-y,z+1/2'
'-x,y,z'
'x+1/2,-y,z+1/2'
loop_
_atom_site_label
_atom_site_fract_x
_atom_site_fract_y
_atom_site_fract_z
Mn1 0.000 0.040 0.000
Ge1 0.000 0.593 0.427
F1 0.000 0.385 0.097
F2 0.000 0.800 0.728
F3 0.211 0.829 0.266
```